Material: BaPrInWO6
Method: DFT, GGA+U
State: optimized geometry

Computed properties:
The value obtained for the raw total energy is -7.00 eV/atom. Its crystal system is cubic. Its space-group type is F-43m. The calculation puts the density of states at the Fermi level at 0.0 states/eV per cell.

Cell lengths 6.132, 6.132, 6.132 Å; angles 60.00, 60.00, 60.00 degrees
Atoms (fractional coordinates):
1 O 0.274 0.274 0.726
2 O 0.274 0.726 0.726
3 O 0.274 0.726 0.274
4 O 0.726 0.274 0.726
5 O 0.726 0.274 0.274
6 O 0.726 0.726 0.274
7 Pr 0.000 0.000 0.000
8 Ba 0.750 0.750 0.750
9 In 0.250 0.250 0.250
10 W 0.500 0.500 0.500